Record 1
Compound: CdSe2Br2
Source: the Alexandria database
Functional: PBE-GGA
Structure: optimized geometry

Calculated values
Formation energy from raw total energies (eV/f.u.): 0.2
Volume (Å³/cell): 272.65
Size of the total moment (μB per atom): 0.0000

Lattice parameters (Å, degrees): 7.242 7.242 5.198 90.00 90.00 90.00
Space group P4/mbm (No. 127)
Inequivalent atoms, fractional coordinates:
Cd 0.000 0.000 0.000 (multiplicity 2)
Se 0.111 0.389 0.000 (multiplicity 4)
Br 0.236 0.736 0.500 (multiplicity 4)



Record 2
Compound: CaRhCl
Source: the Alexandria database
Functional: PBE-GGA
Structure: optimized geometry

Calculated values
Formation energy from raw total energies (eV/f.u.): -2.7
Volume (Å³/cell): 149.60
Size of the total moment (μB per atom): 0.0000
Relative energy among the computed polymorphs (meV per atom): 264

Lattice parameters (Å, degrees): 4.051 5.540 7.268 91.16 100.43 110.55
Space group P1 (No. 1)
Inequivalent atoms, fractional coordinates:
Ca 0.000 0.000 0.000 (multiplicity 1)
Ca 0.422 0.658 0.385 (multiplicity 1)
Rh 0.168 0.094 0.433 (multiplicity 1)
Rh 0.677 0.228 0.270 (multiplicity 1)
Cl 0.368 0.905 0.719 (multiplicity 1)
Cl 0.949 0.487 0.023 (multiplicity 1)



Record 3
Compound: YInTcB2
Source: the Alexandria database
Functional: PBE-GGA
Structure: optimized geometry

Calculated values
ΔH_f (0 K) (eV/atom): 1.63
Volume (Å³/cell): 98.49
Size of the total moment (μB per atom): 0.3185

Lattice parameters (Å, degrees): 4.387 4.387 5.117 90.00 90.00 90.00
Space group P4/mmm (No. 123)
Inequivalent atoms, fractional coordinates:
Y 0.000 0.000 0.000 (multiplicity 1)
In 0.500 0.500 0.500 (multiplicity 1)
Tc 0.500 0.500 0.000 (multiplicity 1)
B 0.000 0.500 0.500 (multiplicity 2)